Below is a PBEsol-optimized structure of NbGe3Mo, with properties calculated at the meta-GGA SCAN level.

a = 4.7586 Å, b = 4.7586 Å, c = 4.7586 Å
α = 90.00°, β = 90.00°, γ = 90.00°
Last column: nearest neighbours and their distance in Å.
Space group Pm-3m (No. 221)
Inequivalent atoms, fractional coordinates:
Nb1 0.0000 0.0000 0.0000  12 Ge 3.36
Ge1 0.0000 0.5000 0.5000  2 Mo 2.38
Mo1 0.5000 0.5000 0.5000  6 Ge 2.38

Values from the calculation:
Energy relative to the elements (kJ/mol of formula units): 450

Below is a PBEsol-optimized structure of MnNiTe, with properties calculated at the meta-GGA SCAN level.

a = 5.8972 Å, b = 5.8972 Å, c = 5.8972 Å
α = 90.00°, β = 90.00°, γ = 90.00°
Last column: nearest neighbours and their distance in Å.
Space group F-43m (No. 216)
Inequivalent atoms, fractional coordinates:
Mn1 0.0000 0.0000 0.0000  4 Ni 2.55
Ni1 0.2500 0.2500 0.2500  4 Mn 2.55, 4 Te 2.55
Te1 0.0000 0.0000 0.5000  4 Ni 2.55

Values from the calculation:
ΔE_f (raw) (meV/atom): -394.2

Below is a PBEsol-optimized structure of BeF2, with properties calculated at the meta-GGA SCAN level.

a = 4.7223 Å, b = 4.7223 Å, c = 5.1782 Å
α = 90.00°, β = 90.00°, γ = 120.00°
Last column: nearest neighbours and their distance in Å.
Space group P3_121 (No. 152)
Inequivalent atoms, fractional coordinates:
Be1 0.0000 0.5340 0.1667  4 F 1.55-1.56
F1 0.1391 0.4133 0.3861  2 Be 1.55-1.56

Values from the calculation:
ΔE_f (raw) (meV/atom): -3462.6
Energy relative to the lowest polymorph listed for this composition (eV/atom): 0.000

Below is a PBEsol-optimized structure of Sb2PtRhS, with properties calculated at the meta-GGA SCAN level.

a = 5.0626 Å, b = 5.0626 Å, c = 4.3077 Å
α = 90.00°, β = 90.00°, γ = 90.00°
Last column: nearest neighbours and their distance in Å.
Space group P4/mmm (No. 123)
Inequivalent atoms, fractional coordinates:
Sb1 0.0000 0.5000 0.0000  2 S 2.53
Pt1 0.0000 0.0000 0.5000  2 S 2.15
Rh1 0.5000 0.5000 0.5000  8 Sb 3.32, 4 Pt 3.58
S1 0.0000 0.0000 0.0000  2 Pt 2.15

Values from the calculation:
ΔE_f (raw) (meV/atom): 895.3

Number 1: energy -120.6 eV for the cell shown. Number 2: energy -291.4 eV for the cell shown. Number 3: energy -65.5 eV for the cell shown. Number 4: energy -183.6 eV for the cell shown.